Entry 1:
{
  "formula": "Ba2HgIrO4",
  "functional": "PBE",
  "state": "relaxed",
  "final_energy_ev_per_atom": -5.53,
  "sg": "C2/m (12)",
  "volume_a3_per_atom": 20.6,
  "raw_formation_energy_ev_per_atom": -1.42,
  "lattice": [[3.460, 0.000, 0.000], [1.730, 4.643, 0.989], [1.730, 1.977, 10.687]],
  "species": ["O", "Ir", "O", "Ba", "O", "O", "Ba", "Hg"],
  "frac_coords": [[0.055, 0.084, 0.805], [0.000, 0.000, 0.000], [0.378, 0.275, 0.970], [0.242, 0.309, 0.206], [0.945, 0.916, 0.195], [0.622, 0.725, 0.030], [0.758, 0.691, 0.794], [0.500, 0.500, 0.500]]
}


Entry 2:
{
  "formula": "Ba2HgPIr",
  "functional": "PBE",
  "state": "relaxed",
  "formation_enthalpy_0k_ev_per_atom": -0.534,
  "final_energy_ev_per_atom": -4.22,
  "sg": "P4/mmm (123)",
  "volume_a3_per_atom": 33.9,
  "e_above_lowest_polymorph_kj_per_mol_atoms": 0.00,
  "lattice": [[6.230, 0.000, 0.000], [0.000, 6.230, 0.000], [0.000, 0.000, 4.364]],
  "species": ["Ba", "Hg", "Ir", "P", "Ba"],
  "frac_coords": [[0.500, 0.000, 0.000], [0.500, 0.500, 0.500], [0.000, 0.000, 0.500], [0.000, 0.000, 0.000], [0.000, 0.500, 0.000]]
}